No. 1
The following is a PBE calculation of an optimized crystal structure of KPuAl, from OQMD.

Calculated values
Energy relative to the lowest polymorph listed for this composition   0.0000 eV per atom
SG   F-43m, No. 216

Lattice parameters (Å, degrees): 5.425 5.425 5.425 60.00 60.00 60.00
Atoms (fractional coordinates):
K: 0.000 0.000 0.000
Pu: 0.500 0.500 0.500
Al: 0.250 0.250 0.250


No. 2
The following is a PBE calculation of an optimized crystal structure of KZrAlSe3, from OQMD.

Calculated values
SG   Cmcm, No. 63

Lattice parameters (Å, degrees): 8.104 8.104 10.397 90.00 90.00 153.00
Atoms (fractional coordinates):
K: 0.247 0.753 0.750
K: 0.753 0.247 0.250
Zr: 0.500 0.500 0.000
Zr: 0.500 0.500 0.500
Al: 0.038 0.962 0.250
Al: 0.962 0.038 0.750
Se: 0.127 0.873 0.061
Se: 0.127 0.873 0.439
Se: 0.437 0.563 0.250
Se: 0.563 0.437 0.750
Se: 0.873 0.127 0.561
Se: 0.873 0.127 0.939


No. 3
The following is a PBE calculation of an optimized crystal structure of KSmAl, from OQMD.

Calculated values
Energy relative to the lowest polymorph listed for this composition   0.0000 eV per atom
SG   F-43m, No. 216

Lattice parameters (Å, degrees): 5.311 5.311 5.311 60.00 60.00 60.00
Atoms (fractional coordinates):
K: 0.000 0.000 0.000
Sm: 0.750 0.750 0.750
Al: 0.500 0.500 0.500


Number 1: calculated total energy -5.611 eV per atom, spin magnetization 6.7 μB/cell. Number 2: calculated total energy -4.974 eV per atom, spin magnetization 0.8 μB/cell. Number 3: calculated total energy -2.493 eV per atom, spin magnetization 0.0 μB/cell.